Record 1
The following is a DFT calculation (GGA-PBE) of crystalline CeAl3ZnAg at its relaxed geometry.

Calculated values
Uncorrected energy: -42.85 eV/cell
ΔH_f (0 K): -0.02 eV/atom
DOS(E_F): 1.51 states/eV per atom

a = 6.2549 Å, b = 6.1243 Å, c = 7.0965 Å
α = 115.56°, β = 90.00°, γ = 90.00°
Each line ends with the local moment (μB).
Element x y z (fractional)
Ce  0.7500  0.3005  0.6010  0.87
Ce  0.2500  0.6995  0.3990  0.87
Al  0.2500  0.1295  0.2589  0.00
Al  0.0000  0.2864  0.0000  0.00
Al  0.5000  0.7136  0.0000  0.00
Al  0.5000  0.2864  0.0000  0.00
Al  0.0000  0.7136  0.0000  0.00
Al  0.7500  0.8705  0.7411  0.00
Zn  0.2500  0.9177  0.8354  0.01
Zn  0.7500  0.0823  0.1646  0.01
Ag  0.2500  0.3436  0.6872  0.01
Ag  0.7500  0.6564  0.3128  0.01

***

Record 2
The following is a DFT calculation (GGA-PBE) of crystalline Dy5Tl2Ir at its relaxed geometry.

Calculated values
ΔE to the lowest computed polymorph: 0 meV per atom
Uncorrected energy: -80.80 eV/cell
ΔH_f (0 K): -0.47 eV/atom
DOS(E_F): 0.84 states/eV per atom

a = 4.7347 Å, b = 7.4782 Å, c = 12.3516 Å
α = 90.00°, β = 90.00°, γ = 90.00°
Element x y z (fractional)
Dy  0.0000  0.0000  0.5000
Dy  0.0000  0.5000  0.0000
Dy  0.0000  0.8635  0.2062
Dy  0.0000  0.1365  0.7938
Dy  0.0000  0.6365  0.7062
Dy  0.0000  0.3635  0.2938
Dy  0.5000  0.6797  0.4241
Dy  0.5000  0.3203  0.5759
Dy  0.5000  0.8203  0.9241
Dy  0.5000  0.1797  0.0759
Tl  0.5000  0.5808  0.1668
Tl  0.5000  0.4192  0.8332
Tl  0.5000  0.9192  0.6668
Tl  0.5000  0.0808  0.3332
Ir  0.0000  0.5000  0.5000
Ir  0.0000  0.0000  0.0000

***

Record 3
The following is a DFT calculation (GGA-PBE) of crystalline Ta2MnCl at its relaxed geometry.

Calculated values
ΔE to the lowest computed polymorph: 421 meV per atom
ΔE_f (raw): 373 meV per atom
Uncorrected energy: -33.23 eV/cell
DOS(E_F): 0.86 states/eV per atom

a = 4.5924 Å, b = 2.8968 Å, c = 5.0584 Å
α = 72.55°, β = 90.00°, γ = 90.00°
Each line ends with the local moment (μB).
Element x y z (fractional)
Cl  0.0000  0.6440  0.5195  0.01
Mn  0.5000  0.4706  0.7589  1.91
Ta  0.0000  0.9454  0.9763  -0.08
Ta  0.5000  0.4401  0.2454  -0.14

***

Record 4
The following is a DFT calculation (GGA-PBE) of crystalline Ac2PrAl at its relaxed geometry.

Calculated values
ΔE to the lowest computed polymorph: 143 meV per atom
Uncorrected energy: -16.51 eV/cell
ΔH_f (0 K): 0.06 eV/atom
DOS(E_F): 1.67 states/eV per atom

a = 5.8192 Å, b = 5.8192 Å, c = 5.8192 Å
α = 60.00°, β = 60.00°, γ = 60.00°
Element x y z (fractional)
Pr  0.0000  0.0000  0.0000
Ac  0.2500  0.2500  0.2500
Ac  0.7500  0.7500  0.7500
Al  0.5000  0.5000  0.5000

***

Record 5
The following is a DFT calculation (GGA-PBE) of crystalline Ti2NbAl at its relaxed geometry.

Calculated values
Uncorrected energy: -30.53 eV/cell
ΔH_f (0 K): -0.23 eV/atom
DOS(E_F): 1.24 states/eV per atom

a = 3.3104 Å, b = 3.3104 Å, c = 6.2170 Å
α = 90.00°, β = 90.00°, γ = 90.00°
Element x y z (fractional)
Nb  0.5000  0.5000  0.0000
Al  0.5000  0.5000  0.5000
Ti  0.0000  0.0000  0.7560
Ti  0.0000  0.0000  0.2440

***

Record 6
The following is a DFT calculation (GGA-PBE) of crystalline NaSr2PRh at its relaxed geometry.

Calculated values
Uncorrected energy: -19.62 eV/cell
ΔH_f (0 K): -0.44 eV/atom
DOS(E_F): 0.63 states/eV per atom

a = 5.9461 Å, b = 5.9461 Å, c = 4.4265 Å
α = 90.00°, β = 90.00°, γ = 90.00°
Element x y z (fractional)
Na  0.5000  0.5000  0.5000
Sr  0.0000  0.5000  0.0000
Sr  0.5000  0.0000  0.0000
Rh  0.0000  0.0000  0.5000
P  0.0000  0.0000  0.0000

***

Record 7
The following is a DFT calculation (GGA-PBE) of crystalline Cr2CoSe at its relaxed geometry.

Calculated values
ΔE_f (raw): 263 meV per atom
Uncorrected energy: -28.79 eV/cell
DOS(E_F): 1.00 states/eV per atom

a = 3.5523 Å, b = 2.9198 Å, c = 5.2229 Å
α = 73.79°, β = 90.00°, γ = 90.00°
Each line ends with the local moment (μB).
Element x y z (fractional)
Co  0.5000  0.5502  0.7747  0.44
Cr  0.0000  0.9454  0.9843  1.41
Cr  0.5000  0.3028  0.2689  1.68
Se  0.0000  0.7016  0.4721  -0.05

***

Record 8
The following is a DFT calculation (GGA-PBE) of crystalline Li4Mg5 at its relaxed geometry.

Calculated values
ΔE to the lowest computed polymorph: 24 meV per atom
Uncorrected energy: -31.83 eV/cell
ΔH_f (0 K): -0.03 eV/atom
DOS(E_F): 0.43 states/eV per atom

a = 8.5454 Å, b = 8.5454 Å, c = 5.8752 Å
α = 90.00°, β = 90.00°, γ = 120.00°
Element x y z (fractional)
Li  0.0000  0.0000  0.0000
Li  0.0000  0.0000  0.5000
Li  0.0000  0.3608  0.2500
Li  0.6392  0.6392  0.2500
Li  0.3608  0.0000  0.2500
Li  0.0000  0.6392  0.7500
Li  0.3608  0.3608  0.7500
Li  0.6392  0.0000  0.7500
Mg  0.0000  0.6966  0.2500
Mg  0.3034  0.3034  0.2500
Mg  0.6966  0.0000  0.2500
Mg  0.0000  0.3034  0.7500
Mg  0.6966  0.6966  0.7500
Mg  0.3034  0.0000  0.7500
Mg  0.6667  0.3333  0.0000
Mg  0.3333  0.6667  0.5000
Mg  0.3333  0.6667  0.0000
Mg  0.6667  0.3333  0.5000

***

Record 9
The following is a DFT calculation (GGA-PBE) of crystalline AlPPt2 at its relaxed geometry.

Calculated values
ΔE to the lowest computed polymorph: 60 meV per atom
Uncorrected energy: -46.70 eV/cell
ΔH_f (0 K): -0.53 eV/atom
DOS(E_F): 0.07 states/eV per atom

a = 4.0748 Å, b = 4.0748 Å, c = 8.4056 Å
α = 75.97°, β = 75.97°, γ = 90.00°
Element x y z (fractional)
P  0.0000  0.0000  0.0000
P  0.7500  0.2500  0.5000
Al  0.5000  0.5000  0.0000
Al  0.2500  0.7500  0.5000
Pt  0.6433  0.1250  0.2500
Pt  0.1067  0.6250  0.2500
Pt  0.3750  0.3567  0.7500
Pt  0.8750  0.8933  0.7500

***

Record 10
The following is a DFT calculation (GGA-PBE) of crystalline Th2OsRu at its relaxed geometry.

Calculated values
ΔE to the lowest computed polymorph: 0 meV per atom
Uncorrected energy: -74.01 eV/cell
ΔH_f (0 K): -0.41 eV/atom
DOS(E_F): 0.52 states/eV per atom

a = 4.0566 Å, b = 6.0647 Å, c = 7.8344 Å
α = 109.22°, β = 90.00°, γ = 90.00°
Element x y z (fractional)
Th  0.7500  0.2240  0.4316
Th  0.2500  0.7760  0.5684
Th  0.2500  0.7784  0.0694
Th  0.7500  0.2216  0.9306
Os  0.2500  0.3240  0.2069
Os  0.7500  0.6760  0.7931
Ru  0.7500  0.6875  0.2959
Ru  0.2500  0.3125  0.7041

***

Record 11
The following is a DFT calculation (GGA-PBE) of crystalline Sc2VPb2 at its relaxed geometry.

Calculated values
Uncorrected energy: -58.92 eV/cell
ΔH_f (0 K): -0.05 eV/atom
DOS(E_F): 0.81 states/eV per atom

a = 7.4145 Å, b = 7.4145 Å, c = 4.2495 Å
α = 90.00°, β = 90.00°, γ = 90.00°
Each line ends with the local moment (μB).
Element x y z (fractional)
Pb  0.3561  0.8561  0.0000  -0.04
Pb  0.8561  0.6439  0.0000  -0.04
Pb  0.6439  0.1439  0.0000  -0.04
Pb  0.1439  0.3561  0.0000  -0.04
Sc  0.1655  0.6655  0.5000  -0.01
Sc  0.6655  0.8345  0.5000  -0.01
Sc  0.8345  0.3345  0.5000  -0.01
Sc  0.3345  0.1655  0.5000  -0.01
V  0.0000  0.0000  0.0000  2.19
V  0.5000  0.5000  0.0000  2.19

***

Record 12
The following is a DFT calculation (GGA-PBE) of crystalline Fe2GeB2 at its relaxed geometry.

Calculated values
ΔE to the lowest computed polymorph: 81 meV per atom
Uncorrected energy: -34.14 eV/cell
ΔH_f (0 K): 0.15 eV/atom
DOS(E_F): 0.38 states/eV per atom

a = 3.5786 Å, b = 3.5786 Å, c = 4.5663 Å
α = 66.93°, β = 66.93°, γ = 90.00°
Element x y z (fractional)
Ge  0.0000  0.0000  0.0000
B  0.3854  0.3854  0.2291
B  0.6146  0.6146  0.7709
Fe  0.7500  0.2500  0.5000
Fe  0.2500  0.7500  0.5000

***

Record 13
The following is a DFT calculation (GGA-PBE) of crystalline GdMgBiPb at its relaxed geometry.

Calculated values
Uncorrected energy: -24.39 eV/cell
ΔH_f (0 K): -0.28 eV/atom
DOS(E_F): 0.76 states/eV per atom

a = 5.4308 Å, b = 5.4308 Å, c = 5.4308 Å
α = 60.00°, β = 60.00°, γ = 60.00°
Each line ends with the local moment (μB).
Element x y z (fractional)
Pb  0.7500  0.7500  0.7500  0.01
Mg  0.0000  0.0000  0.0000  0.00
Gd  0.5000  0.5000  0.5000  7.06
Bi  0.2500  0.2500  0.2500  0.04